Entry 1:
BaFePb2: PBEsol geometry, meta-GGA SCAN.

The structure in POSCAR format:
```
BaFePb2
1.0
-4.085 -2.982 1.922
0.104 -5.385 -0.516
0.745 -3.122 4.356
Ba Fe Pb
1 1 2
Direct
0.500 0.500 0.500
0.750 0.750 0.750
0.000 0.000 0.000
0.250 0.250 0.250
```

## Properties
symmetry = F-43m, No. 216
magnetization = 2.85 μB per cell
DFT total energy = -52.034 eV/atom
formation energy from the elements = 107 kJ/mol of formula units

Entry 2:
BaFePb2: PBEsol geometry, meta-GGA SCAN.

The structure in POSCAR format:
```
BaFePb2
1.0
-2.585 2.380 0.453
-1.625 -2.194 2.257
4.146 3.320 6.213
Fe Pb Ba
1 2 1
Direct
0.500 0.500 0.500
0.000 0.000 0.688
0.000 0.000 0.312
0.500 0.500 0.000
```

## Properties
symmetry = P4/mmm, No. 123
magnetization = 2.55 μB per cell
DFT total energy = -52.268 eV/atom
formation energy from the elements = 17 kJ/mol of formula units

Entry 3:
BaFePb2: PBEsol geometry, meta-GGA SCAN.

The structure in POSCAR format:
```
BaFePb2
1.0
3.448 0.000 0.000
0.000 6.057 0.000
-1.724 -3.029 5.240
Pb Ba Fe
2 1 1
Direct
0.298 0.298 0.595
0.702 0.702 0.405
0.500 0.000 0.000
0.000 0.500 0.000
```

## Properties
symmetry = Immm, No. 71
magnetization = 2.40 μB per cell
DFT total energy = -52.270 eV/atom
formation energy from the elements = 16 kJ/mol of formula units

Entry 4:
BaFePb2: PBEsol geometry, meta-GGA SCAN.

The structure in POSCAR format:
```
BaFePb2
1.0
3.337 0.061 0.093
-0.124 6.031 0.025
-0.124 -2.358 5.552
Pb Ba Fe
2 1 1
Direct
0.000 0.500 0.000
0.000 0.000 0.500
0.500 0.500 0.500
0.500 0.000 0.000
```

## Properties
symmetry = C2/m, No. 12
magnetization = 3.22 μB per cell
DFT total energy = -52.063 eV/atom
formation energy from the elements = 95 kJ/mol of formula units

Entry 5:
BaFePb: PBEsol geometry, meta-GGA SCAN.

The structure in POSCAR format:
```
BaFePb
1.0
4.597 0.000 0.000
-2.298 3.981 0.000
0.000 0.000 5.046
Pb Fe Ba
1 1 1
Direct
0.667 0.333 0.500
0.333 0.667 0.500
0.000 0.000 0.000
```

## Properties
symmetry = P-6m2, No. 187
magnetization = 3.53 μB per cell
DFT total energy = -44.586 eV/atom
formation energy from the elements = -29 kJ/mol of formula units

Entry 6:
BaTiFe2Pd: PBEsol geometry, meta-GGA SCAN.

The structure in POSCAR format:
```
BaTiFe2Pd
1.0
4.785 0.000 0.000
0.000 4.785 0.000
0.000 0.000 5.104
Pd Ba Fe Ti
1 1 2 1
Direct
0.000 0.000 0.500
0.000 0.000 0.000
0.500 0.000 0.000
0.000 0.500 0.000
0.500 0.500 0.500
```

## Properties
symmetry = P4/mmm, No. 123
magnetization = 8.16 μB per cell
DFT total energy = -22.824 eV/atom
formation energy from the elements = 1012 kJ/mol of formula units